This record from the Alexandria database describes a geometry-optimized CdNi2Pt structure. The functional is GGA-PBE.

Summary:
For the calculated volume, the calculation gives 57.0 Å³/f.u. As for the total energy: -4.6476 eV per atom. The total magnetization comes out at 0.490 μB/f.u.

a = 4.7549 Å, b = 4.7549 Å, c = 4.6019 Å
α = 77.00°, β = 77.00°, γ = 34.28°
Atoms (fractional coordinates):
Ni1 0.0112 0.0112 0.9961
Ni2 0.7424 0.7424 0.7435
Pt1 0.4906 0.4906 0.5307
Cd1 0.2558 0.2558 0.2297



This record from the Alexandria database describes a geometry-optimized CdNi2Pt2 structure. The functional is GGA-PBE.

Summary:
For the calculated volume, the calculation gives 81.1 Å³/f.u. As for the total energy: -4.7742 eV per atom. The total magnetization comes out at 1.766 μB/f.u. For the excess energy over the best structure of this formula in the dataset, the calculation gives 181 meV/atom.

a = 3.7850 Å, b = 3.7850 Å, c = 6.2596 Å
α = 72.40°, β = 72.40°, γ = 90.00°
Atoms (fractional coordinates):
Ni1 0.4004 0.4004 0.1992
Ni2 0.5996 0.5996 0.8008
Pt1 0.7500 0.2500 0.5000
Pt2 0.2500 0.7500 0.5000
Cd1 0.0000 0.0000 0.0000



This record from the Alexandria database describes a geometry-optimized Cd2NiPt structure. The functional is GGA-PBE.

Summary:
For the calculated volume, the calculation gives 68.0 Å³/f.u. As for the total energy: -3.3820 eV per atom. The total magnetization comes out at 0.001 μB/f.u.

a = 9.4223 Å, b = 9.4223 Å, c = 9.4223 Å
α = 17.77°, β = 17.77°, γ = 17.77°
Atoms (fractional coordinates):
Cd1 0.0058 0.0058 0.0058
Cd2 0.2399 0.2399 0.2399
Pt1 0.7577 0.7577 0.7577
Ni1 0.4966 0.4966 0.4966



This record from the Alexandria database describes a geometry-optimized Cd2NiPt structure. The functional is GGA-PBE.

Summary:
For the calculated volume, the calculation gives 66.7 Å³/f.u. As for the total energy: -3.5283 eV per atom. The total magnetization comes out at 0.000 μB/f.u.

a = 4.8116 Å, b = 4.8116 Å, c = 2.9788 Å
α = 90.01°, β = 90.01°, γ = 104.73°
Atoms (fractional coordinates):
Pt1 0.0000 0.5000 0.5000
Ni1 0.5000 0.0000 0.5000
Cd1 0.0000 0.0000 0.0000
Cd2 0.5000 0.5000 0.0000



This record from the Alexandria database describes a geometry-optimized CdNi2Pt structure. The functional is GGA-PBE.

Summary:
For the calculated volume, the calculation gives 57.2 Å³/f.u. As for the total energy: -4.6511 eV per atom. The total magnetization comes out at 1.128 μB/f.u.

a = 3.9396 Å, b = 3.9386 Å, c = 3.6875 Å
α = 90.00°, β = 90.00°, γ = 90.00°
Atoms (fractional coordinates):
Pt1 0.5000 0.0000 0.5000
Ni1 0.5000 0.5000 0.0000
Ni2 0.0000 0.0000 0.0000
Cd1 0.0000 0.5000 0.5000



This record from the Alexandria database describes a geometry-optimized Cd2NiPt6 structure. The functional is GGA-PBE.

Summary:
For the calculated volume, the calculation gives 145.4 Å³/f.u. As for the total energy: -4.9600 eV per atom. The total magnetization comes out at 1.714 μB/f.u.

a = 2.8088 Å, b = 7.7315 Å, c = 7.7315 Å
α = 120.00°, β = 90.00°, γ = 90.00°
Atoms (fractional coordinates):
Cd1 0.0000 0.6667 0.3333
Cd2 0.0000 0.3333 0.6667
Pt1 0.5000 0.6456 0.6456
Pt2 0.0000 0.2834 0.2834
Pt3 0.5000 0.0000 0.3544
Pt4 0.5000 0.3544 0.0000
Pt5 0.0000 0.0000 0.7166
Pt6 0.0000 0.7166 0.0000
Ni1 0.5000 0.0000 0.0000



This record from the Alexandria database describes a geometry-optimized CdNi2Pt structure. The functional is GGA-PBE.

Summary:
For the calculated volume, the calculation gives 57.5 Å³/f.u. As for the total energy: -4.6550 eV per atom. The total magnetization comes out at 0.766 μB/f.u.

a = 3.6701 Å, b = 2.7630 Å, c = 6.3216 Å
α = 63.85°, β = 90.00°, γ = 90.00°
Atoms (fractional coordinates):
Ni1 0.0000 0.9754 0.0248
Ni2 0.0000 0.5246 0.4752
Cd1 0.5000 0.7500 0.7500
Pt1 0.5000 0.2500 0.2500



This record from the Alexandria database describes a geometry-optimized Cd2NiPt structure. The functional is GGA-PBE.

Summary:
For the calculated volume, the calculation gives 66.9 Å³/f.u. As for the total energy: -3.4307 eV per atom. The total magnetization comes out at 0.000 μB/f.u.

a = 4.7861 Å, b = 4.7861 Å, c = 5.0694 Å
α = 79.19°, β = 79.19°, γ = 36.02°
Atoms (fractional coordinates):
Cd1 0.9953 0.9953 0.0081
Cd2 0.5047 0.5047 0.4919
Pt1 0.7500 0.7500 0.7500
Ni1 0.2500 0.2500 0.2500



This record from the Alexandria database describes a geometry-optimized CdNi2Pt2 structure. The functional is GGA-PBE.

Summary:
For the calculated volume, the calculation gives 80.1 Å³/f.u. As for the total energy: -4.8419 eV per atom. The total magnetization comes out at 1.984 μB/f.u. For the excess energy over the best structure of this formula in the dataset, the calculation gives 113 meV/atom.

a = 3.5728 Å, b = 3.5728 Å, c = 6.7612 Å
α = 74.68°, β = 74.68°, γ = 90.00°
Atoms (fractional coordinates):
Ni1 0.7500 0.2500 0.5000
Ni2 0.2500 0.7500 0.5000
Pt1 0.6067 0.6067 0.7866
Pt2 0.3933 0.3933 0.2134
Cd1 0.0000 0.0000 0.0000



This record from the Alexandria database describes a geometry-optimized CdNi2Pt structure. The functional is GGA-PBE.

Summary:
For the calculated volume, the calculation gives 56.5 Å³/f.u. As for the total energy: -4.6634 eV per atom. The total magnetization comes out at 0.001 μB/f.u.

a = 4.5685 Å, b = 4.5685 Å, c = 2.7761 Å
α = 90.00°, β = 90.00°, γ = 102.63°
Atoms (fractional coordinates):
Ni1 0.5000 0.5000 0.0000
Ni2 0.0000 0.0000 0.0000
Pt1 0.5000 0.0000 0.5000
Cd1 0.0000 0.5000 0.5000



This record from the Alexandria database describes a geometry-optimized CdNiPt2 structure. The functional is GGA-PBE.

Summary:
For the calculated volume, the calculation gives 62.8 Å³/f.u. As for the total energy: -4.7120 eV per atom. The total magnetization comes out at 0.000 μB/f.u.

a = 4.4607 Å, b = 4.4607 Å, c = 4.4607 Å
α = 60.00°, β = 60.00°, γ = 60.00°
Atoms (fractional coordinates):
Ni1 0.7500 0.7500 0.7500
Pt1 0.2500 0.2500 0.2500
Pt2 0.0000 0.0000 0.0000
Cd1 0.5000 0.5000 0.5000



This record from the Alexandria database describes a geometry-optimized CdNiPt6 structure. The functional is GGA-PBE.

Summary:
For the calculated volume, the calculation gives 124.9 Å³/f.u. As for the total energy: -5.4836 eV per atom. The total magnetization comes out at 1.082 μB/f.u.

a = 3.9612 Å, b = 3.9612 Å, c = 7.9587 Å
α = 90.00°, β = 90.00°, γ = 90.00°
Atoms (fractional coordinates):
Pt1 0.0000 0.5000 0.7369
Pt2 0.5000 0.0000 0.7369
Pt3 0.5000 0.5000 0.5000
Pt4 0.0000 0.5000 0.2631
Pt5 0.5000 0.5000 0.0000
Pt6 0.5000 0.0000 0.2631
Cd1 0.0000 0.0000 0.0000
Ni1 0.0000 0.0000 0.5000